(1)
Entry from Alexandria: BaSbAs2Se after structural relaxation (PBE-GGA).

Cell: 5.326 5.326 5.550 Å, 90.00 90.00 90.00°
Space group P4/mmm (No. 123)
Unique sites:
Ba 0.000 0.000 0.000 [1 per cell]
Sb 0.500 0.500 0.500 [1 per cell]
As 0.000 0.500 0.500 [2 per cell]
Se 0.500 0.500 0.000 [1 per cell]

Formation energy (no corrections) (eV per atom): -0.226
Energy above the lowest structure with this stoichiometry (eV/f.u.): 0.000
Electronic total energy (eV per atom): -3.99
DOS at the Fermi energy (states/eV/atom): 1.05
V (A^3/atom): 31.5
Crystal system: tetragonal

(2)
Entry from Alexandria: BaSbAs2Se8 after structural relaxation (PBE-GGA).

Cell: 6.3661 6.3661 9.6413 Å, 90.00 90.00 120.00°
Space group P-3 (No. 147)
Unique sites:
Ba 0.0000 0.0000 0.0000 [1 per cell]
Sb 0.0000 0.0000 0.5000 [1 per cell]
As 0.3333 0.6667 0.7516 [2 per cell]
Se 0.0554 0.6770 0.3150 [6 per cell]
Se 0.3333 0.6667 0.9928 [2 per cell]

Formation energy (no corrections) (eV per atom): -0.325
Electronic total energy (eV per atom): -3.93
DOS at the Fermi energy (states/eV/atom): 0.80
V (A^3/atom): 28.2
Crystal system: trigonal

(3)
Entry from Alexandria: BaSiSb2As after structural relaxation (PBE-GGA).

Cell: 5.438 5.438 4.979 Å, 90.00 90.00 90.00°
Space group P4/mmm (No. 123)
Unique sites:
Ba 0.000 0.000 0.000 [1 per cell]
Si 0.500 0.500 0.500 [1 per cell]
Sb 0.000 0.500 0.500 [2 per cell]
As 0.500 0.500 0.000 [1 per cell]

Formation energy (no corrections) (eV per atom): -0.057
Electronic total energy (eV per atom): -4.10
DOS at the Fermi energy (states/eV/atom): 0.96
V (A^3/atom): 29.4
Crystal system: tetragonal

(4)
Entry from Alexandria: Ba2SnSbAs after structural relaxation (PBE-GGA).

Cell: 7.633 4.715 11.651 Å, 90.00 107.99 90.00°
Space group P2_1/m (No. 11)
Unique sites:
Ba 0.169 0.250 0.384 [2 per cell]
Ba 0.234 0.750 0.991 [2 per cell]
Sn 0.315 0.250 0.779 [2 per cell]
Sb 0.330 0.750 0.628 [2 per cell]
As 0.017 0.750 0.182 [2 per cell]

Formation energy (no corrections) (eV per atom): -0.814
Electronic total energy (eV per atom): -4.14
DOS at the Fermi energy (states/eV/atom): 0.10
V (A^3/atom): 39.9
Crystal system: monoclinic

(5)
Entry from Alexandria: Ba2Sn2Sb2As after structural relaxation (PBE-GGA).

Cell: 4.579 6.995 8.552 Å, 94.13 105.50 109.10°
Space group P-1 (No. 2)
Unique sites:
Ba 0.224 0.164 0.285 [2 per cell]
Sn 0.373 0.633 0.112 [2 per cell]
Sb 0.002 0.632 0.370 [2 per cell]
As 0.500 0.000 0.000 [1 per cell]

Formation energy (no corrections) (eV per atom): -0.597
Electronic total energy (eV per atom): -4.13
DOS at the Fermi energy (states/eV/atom): 0.40
V (A^3/atom): 35.1
Crystal system: triclinic

(6)
Entry from Alexandria: BaSn2SbAs after structural relaxation (PBE-GGA).

Cell: 6.231 6.231 5.601 Å, 90.00 90.00 90.00°
Space group P4/mmm (No. 123)
Unique sites:
Ba 0.000 0.000 0.000 [1 per cell]
Sn 0.000 0.500 0.000 [2 per cell]
Sb 0.500 0.500 0.500 [1 per cell]
As 0.000 0.000 0.500 [1 per cell]

Formation energy (no corrections) (eV per atom): 1.088
Electronic total energy (eV per atom): -2.65
DOS at the Fermi energy (states/eV/atom): 1.17
V (A^3/atom): 43.5
Crystal system: tetragonal

(7)
Entry from Alexandria: BaSr2SbAs after structural relaxation (PBE-GGA).

Cell: 5.608 5.608 7.223 Å, 90.00 90.00 90.00°
Space group P4mm (No. 99)
Unique sites:
Ba 0.000 0.000 0.000 [1 per cell]
Sr 0.000 0.500 0.429 [2 per cell]
Sb 0.500 0.500 0.152 [1 per cell]
As 0.000 0.000 0.571 [1 per cell]

Formation energy (no corrections) (eV per atom): -0.948
Electronic total energy (eV per atom): -3.76
V (A^3/atom): 45.4
Crystal system: tetragonal

(8)
Entry from Alexandria: Ba2SrSbAs after structural relaxation (PBE-GGA).

Cell: 6.219 6.219 5.947 Å, 90.00 90.00 90.00°
Space group P4mm (No. 99)
Unique sites:
Ba 0.000 0.500 0.000 [2 per cell]
Sr 0.000 0.000 0.536 [1 per cell]
Sb 0.500 0.500 0.616 [1 per cell]
As 0.000 0.000 0.045 [1 per cell]

Formation energy (no corrections) (eV per atom): -0.842
Electronic total energy (eV per atom): -3.70
V (A^3/atom): 46.0
Crystal system: tetragonal